<P>
DFT (PBE-GGA) results for crystalline CaAg2F6 at its relaxed geometry.

Lattice parameters (Å, degrees): 4.1533 6.1973 6.8604 69.56 72.38 70.42
Element x y z (fractional)
Ca 0.0000 0.5000 0.5000
Ag 0.1838 0.7587 0.8736
Ag 0.8162 0.2413 0.1264
F 0.7033 0.7313 0.8622
F 0.2967 0.2687 0.1378
F 0.0124 0.7847 0.1904
F 0.3710 0.6772 0.5809
F 0.9876 0.2153 0.8096
F 0.6290 0.3228 0.4191

Calculated values
The volume comes out at 16.93 Å³ per atom. The value obtained for the calculated density is 4.03 g/cm3.



<Q>
DFT (PBE-GGA) results for crystalline CaAg2F6 at its relaxed geometry.

Lattice parameters (Å, degrees): 5.7773 7.2060 7.2060 76.70 88.85 88.85
Element x y z (fractional)
Ca 0.2500 0.1878 0.8122
Ca 0.7500 0.8122 0.1878
Ag 0.2503 0.6481 0.8742
Ag 0.2497 0.1258 0.3519
Ag 0.7497 0.3519 0.1258
Ag 0.7503 0.8742 0.6481
F 0.5151 0.8190 0.4491
F 0.9849 0.5509 0.1810
F 0.4849 0.1810 0.5509
F 0.0151 0.4491 0.8190
F 0.9865 0.8265 0.4378
F 0.5135 0.5622 0.1735
F 0.0135 0.1735 0.5622
F 0.4865 0.4378 0.8265
F 0.9941 0.8776 0.8833
F 0.5059 0.1167 0.1224
F 0.0059 0.1224 0.1167
F 0.4941 0.8833 0.8776

Calculated values
The volume comes out at 16.21 Å³ per atom. The value obtained for the calculated density is 4.21 g/cm3.



Energy above the most stable structure, in meV/atom: <P> 0; <Q> 62



<P>
DFT (PBE-GGA) results for crystalline Ca2Ag2F7 at its relaxed geometry.

Lattice parameters (Å, degrees): 6.2578 6.1551 6.2578 96.26 66.01 83.74
Element x y z (fractional)
Ca 0.6813 0.5000 0.6813
Ca 0.3187 0.5000 0.3187
Ag 0.2650 0.1213 0.7350
Ag 0.7350 0.8787 0.2650
F 0.4269 0.3121 0.9532
F 0.9532 0.6879 0.4269
F 0.5731 0.6879 0.0468
F 0.0468 0.3121 0.5731
F 0.5526 0.2706 0.4474
F 0.0000 0.0000 0.0000
F 0.4474 0.7294 0.5526

Calculated values
The volume comes out at 19.61 Å³ per atom. The value obtained for the calculated density is 3.30 g/cm3.



<Q>
DFT (PBE-GGA) results for crystalline Ca2Ag2F7 at its relaxed geometry.

Lattice parameters (Å, degrees): 5.5953 5.6477 5.5953 94.92 94.12 85.08
Element x y z (fractional)
Ca 0.7282 0.0007 0.2718
Ca 0.2718 0.9993 0.7282
Ag 0.7487 0.5000 0.7487
Ag 0.2513 0.5000 0.2513
F 0.9748 0.2523 0.5307
F 0.5307 0.7477 0.9748
F 0.0252 0.7477 0.4693
F 0.4693 0.2523 0.0252
F 0.0000 0.0000 0.0000
F 0.5223 0.7589 0.4777
F 0.4777 0.2411 0.5223

Calculated values
The volume comes out at 15.92 Å³ per atom. The value obtained for the calculated density is 4.07 g/cm3.



Energy above the most stable structure, in meV/atom: <P> 7; <Q> 0